Record 1
## CoAsAu (GGA-PBE)

Data for a geometry-optimized CoAsAu structure.

Summary:
Magnetization, μB per cell: 0.01
DOS(E_F), states/eV/f.u.: 2.3
Energy of formation from the pure elements, meV per atom: 116

Cell: 3.072 3.072 9.795 Å, 90.00 90.00 90.00°
Space group I4mm (No. 107)
Unique sites:
Co  0.000  0.000  0.000
As  0.000  0.000  0.398
Au  0.000  0.000  0.688

---

Record 2
## AcNdYTm (GGA-PBE)

Data for a geometry-optimized AcNdYTm structure.

Summary:
Magnetization, μB per cell: 0.00
DOS(E_F), states/eV/f.u.: 6.8
Energy of formation from the pure elements, meV per atom: 104
Relative energy among the computed polymorphs, meV per atom: 0

Cell: 3.950 5.994 12.051 Å, 90.00 90.00 90.00°
Space group Imm2 (No. 44)
Unique sites:
Ac  0.000  0.000  0.000
Nd  0.000  0.500  0.769
Y  0.000  0.500  0.239
Tm  0.000  0.000  0.507

---

Record 3
## TiRh3Br (GGA-PBE)

Data for a geometry-optimized TiRh3Br structure.

Summary:
Magnetization, μB per cell: 0.00
Energy relative to the elements, uncorrected, eV/atom: 0.817
DOS(E_F), states/eV/f.u.: 6.9
Relative energy among the computed polymorphs, meV per atom: 0

Cell: 4.631 4.631 4.631 Å, 90.00 90.00 90.00°
Space group Pm-3m (No. 221)
Unique sites:
Ti  0.000  0.000  0.000
Rh  0.000  0.000  0.500
Br  0.500  0.500  0.500

---

Record 4
## Li3TaAl (GGA-PBE)

Data for a geometry-optimized Li3TaAl structure.

Summary:
Magnetization, μB per cell: 3.63
DOS(E_F), states/eV/f.u.: 3.6
Energy of formation from the pure elements, meV per atom: 1496
Relative energy among the computed polymorphs, meV per atom: 456

Cell: 4.990 4.990 4.990 Å, 90.00 90.00 90.00°
Space group Pm-3m (No. 221)
Unique sites:
Li  0.000  0.000  0.500
Ta  0.000  0.000  0.000
Al  0.500  0.500  0.500

---

Record 5
## DyY6Th3 (GGA-PBE)

Data for a geometry-optimized DyY6Th3 structure.

Summary:
Magnetization, μB per cell: 0.00
DOS(E_F), states/eV/f.u.: 16.0
Energy of formation from the pure elements, meV per atom: 103
Relative energy among the computed polymorphs, meV per atom: 0

Cell: 13.217 3.503 14.288 Å, 90.00 97.61 90.00°
Space group P2_1/m (No. 11)
Unique sites:
Dy  0.185  0.250  0.394
Y  0.075  0.750  0.601
Y  0.127  0.250  0.020
Y  0.244  0.250  0.795
Y  0.276  0.750  0.203
Y  0.377  0.750  0.001
Y  0.437  0.750  0.402
Th  0.021  0.750  0.211
Th  0.326  0.750  0.602
Th  0.492  0.750  0.798

---

Record 6
## NpNiH4 (GGA-PBE)

Data for a geometry-optimized NpNiH4 structure.

Summary:
Magnetization, μB per cell: 4.70
DOS(E_F), states/eV/f.u.: 5.8
Relative energy among the computed polymorphs, meV per atom: 0

Cell: 3.285 3.285 4.591 Å, 90.00 90.00 90.00°
Space group P4/mmm (No. 123)
Unique sites:
Np  0.000  0.000  0.000
Ni  0.500  0.500  0.500
H  0.000  0.500  0.500
H  0.500  0.500  0.161